Compound: CrMoF2
Source: the Alexandria database
Functional: PBE with a Hubbard U
Structure: relaxed

Structure (CIF):
```
data_CrMoF2
_chemical_formula_sum 'Cr4 Mo4 F8'
_space_group_name_H-M_alt 'I -4 2 d'
_space_group_IT_number 122
_space_group_name_Hall 'I -4 2bw'
_cell_length_a 5.2461
_cell_length_b 5.2461
_cell_length_c 10.5260
_cell_angle_alpha 90.00
_cell_angle_beta 90.00
_cell_angle_gamma 90.00
loop_
_atom_site_label
_atom_site_type_symbol
_atom_site_fract_x
_atom_site_fract_y
_atom_site_fract_z
Cr1 Cr 0.0000 0.0000 0.0000
Mo1 Mo 0.0000 0.0000 0.5000
F1 F 0.2376 0.2500 0.1250
```

Output
**Energy above the most stable polymorph in this dataset**: 1.544 eV per formula unit
**Uncorrected energy**: -5.002 eV/atom